Here is Mn2VS4 after structural relaxation from Alexandria via LeMat-Bulk. Energies are from PBE.

Output
calculated volume = 133 Å³/cell
space-group type = R-3m, No. 166
formation energy from raw total energies = -0.535 eV/atom
total magnetization = 11.01 Bohr magnetons per cell
electronic total energy = -47.71 eV/cell
excess energy over the best structure of this formula in the dataset = 0.029 eV per atom

Lattice parameters (Å, degrees): 3.5354 3.5354 12.4170 81.82 81.82 60.00
Closest atoms and distances in Å follow each position.
Sites, in units of the cell vectors:
Mn  0.4219  0.4219  0.7344  3 S 2.33
Mn  0.5781  0.5781  0.2656  3 S 2.33
V  0.0000  0.0000  0.0000  6 S 2.49
S  0.1193  0.1193  0.6421  3 Mn 2.33
S  0.2946  0.2946  0.1161  3 V 2.49, 3 Mn 2.74
S  0.7054  0.7054  0.8839  3 V 2.49, 3 Mn 2.74
S  0.8807  0.8807  0.3579  3 Mn 2.33

---

Here is MnVS3 after structural relaxation from Alexandria via LeMat-Bulk. Energies are from PBE.

Output
calculated volume = 337 Å³/cell
space-group type = Pnma, No. 62
formation energy from raw total energies = -0.627 eV/atom
total magnetization = 24.02 Bohr magnetons per cell
electronic total energy = -135.23 eV/cell
excess energy over the best structure of this formula in the dataset = 0.135 eV per atom

Lattice parameters (Å, degrees): 6.2430 6.0671 8.9080 90.00 90.00 90.00
Closest atoms and distances in Å follow each position.
Sites, in units of the cell vectors:
Mn  0.3961  0.5326  0.7500  6 S 2.45-2.72
Mn  0.1039  0.0326  0.2500  6 S 2.45-2.72
Mn  0.6039  0.4674  0.2500  6 S 2.45-2.72
Mn  0.8961  0.9674  0.7500  6 S 2.45-2.72
V  0.0000  0.5000  0.0000  6 S 2.37-2.43
V  0.5000  0.0000  0.5000  6 S 2.37-2.43
V  0.5000  0.0000  0.0000  6 S 2.37-2.43
V  0.0000  0.5000  0.5000  6 S 2.37-2.43
S  0.8232  0.1745  0.0776  2 V 2.37-2.38, 1 Mn 2.48
S  0.6768  0.6745  0.5776  2 V 2.37-2.38, 1 Mn 2.48
S  0.6768  0.6745  0.9224  2 V 2.37-2.38, 1 Mn 2.48
S  0.1768  0.8255  0.5776  2 V 2.37-2.38, 1 Mn 2.48
S  0.1768  0.8255  0.9224  2 V 2.37-2.38, 1 Mn 2.48
S  0.3232  0.3255  0.4224  2 V 2.37-2.38, 1 Mn 2.48
S  0.3232  0.3255  0.0776  2 V 2.37-2.38, 1 Mn 2.48
S  0.8232  0.1745  0.4224  2 V 2.37-2.38, 1 Mn 2.48
S  0.5485  0.1542  0.7500  2 V 2.43, 2 Mn 2.45-2.49
S  0.9515  0.6542  0.2500  2 V 2.43, 2 Mn 2.45-2.49
S  0.4515  0.8458  0.2500  2 V 2.43, 2 Mn 2.45-2.49
S  0.0485  0.3458  0.7500  2 V 2.43, 2 Mn 2.45-2.49

---

Here is MnVS3 after structural relaxation from Alexandria via LeMat-Bulk. Energies are from PBE.

Output
calculated volume = 159 Å³/cell
space-group type = P2_1/m, No. 11
formation energy from raw total energies = -0.762 eV/atom
total magnetization = 5.83 Bohr magnetons per cell
electronic total energy = -68.96 eV/cell
excess energy over the best structure of this formula in the dataset = 0.000 eV per atom

Lattice parameters (Å, degrees): 3.2617 6.0642 8.2845 104.70 90.00 90.00
Closest atoms and distances in Å follow each position.
Sites, in units of the cell vectors:
Mn  0.2500  0.7187  0.9917  6 S 2.31-2.52
Mn  0.7500  0.2813  0.0083  6 S 2.31-2.52
V  0.2500  0.8814  0.3586  6 S 2.27-2.47
V  0.7500  0.1186  0.6414  6 S 2.27-2.47
S  0.2500  0.0303  0.8396  3 Mn 2.42-2.52, 2 V 2.47
S  0.7500  0.9697  0.1604  3 Mn 2.42-2.52, 2 V 2.47
S  0.2500  0.4891  0.1778  3 Mn 2.31-2.32, 1 V 2.47
S  0.7500  0.5109  0.8222  3 Mn 2.31-2.32, 1 V 2.47
S  0.2500  0.2578  0.4942  3 V 2.27-2.32
S  0.7500  0.7422  0.5058  3 V 2.27-2.32

---

Here is MnV4S8 after structural relaxation from Alexandria via LeMat-Bulk. Energies are from PBE.

Output
calculated volume = 235 Å³/cell
space-group type = F-43m, No. 216
formation energy from raw total energies = -0.859 eV/atom
total magnetization = 10.78 Bohr magnetons per cell
electronic total energy = -89.82 eV/cell
excess energy over the best structure of this formula in the dataset = 0.019 eV per atom

Lattice parameters (Å, degrees): 6.9309 6.9309 6.9309 60.00 60.00 60.00
Closest atoms and distances in Å follow each position.
Sites, in units of the cell vectors:
Mn  0.7500  0.7500  0.7500  4 S 2.32
V  0.9202  0.3599  0.3599  6 S 2.33-2.51
V  0.3599  0.9202  0.3599  6 S 2.33-2.51
V  0.3599  0.3599  0.9202  6 S 2.33-2.51
V  0.3599  0.3599  0.3599  6 S 2.33-2.51
S  0.6296  0.1235  0.1235  3 V 2.33
S  0.1235  0.6296  0.1235  3 V 2.33
S  0.1235  0.1235  0.6296  3 V 2.33
S  0.1235  0.1235  0.1235  3 V 2.33
S  0.1606  0.6131  0.6131  1 Mn 2.32, 3 V 2.51
S  0.6131  0.1606  0.6131  1 Mn 2.32, 3 V 2.51
S  0.6131  0.6131  0.1606  1 Mn 2.32, 3 V 2.51
S  0.6131  0.6131  0.6131  1 Mn 2.32, 3 V 2.51

---

Here is MnV2S4 after structural relaxation from Alexandria via LeMat-Bulk. Energies are from PBE.

Output
calculated volume = 131 Å³/cell
space-group type = I4/mmm, No. 139
formation energy from raw total energies = -0.146 eV/atom
total magnetization = 8.54 Bohr magnetons per cell
electronic total energy = -44.94 eV/cell

Lattice parameters (Å, degrees): 4.7009 4.7009 6.7783 69.71 69.71 90.00
Closest atoms and distances in Å follow each position.
Sites, in units of the cell vectors:
S  0.2014  0.2014  0.5972  1 V 2.17, 1 Mn 2.38
S  0.7986  0.7986  0.4028  1 V 2.17, 1 Mn 2.38
S  0.0000  0.5000  0.0000  2 Mn 2.35
S  0.5000  0.0000  0.0000  2 Mn 2.35
Mn  0.0000  0.0000  0.0000  6 S 2.35-2.38
V  0.3852  0.3852  0.2296  1 S 2.17
V  0.6148  0.6148  0.7704  1 S 2.17

---

Here is MnV2S4 after structural relaxation from Alexandria via LeMat-Bulk. Energies are from PBE.

Output
calculated volume = 522 Å³/cell
space-group type = C2/c, No. 15
formation energy from raw total energies = -0.774 eV/atom
total magnetization = 35.95 Bohr magnetons per cell
electronic total energy = -197.34 eV/cell

Lattice parameters (Å, degrees): 7.1776 7.1722 12.4160 106.74 90.00 120.02
Closest atoms and distances in Å follow each position.
Sites, in units of the cell vectors:
Mn  0.9381  0.3750  0.3126  4 S 2.35
Mn  0.4369  0.3750  0.8126  4 S 2.35
Mn  0.5631  0.6250  0.1874  4 S 2.35
Mn  0.0619  0.6250  0.6874  4 S 2.35
V  0.5000  0.0000  0.0000  6 S 2.45
V  0.0000  0.0000  0.5000  6 S 2.45
V  0.0000  0.5000  0.0000  6 S 2.45
V  0.5000  0.5000  0.5000  6 S 2.45
V  0.2512  0.0000  0.2500  6 S 2.45
V  0.7488  0.0000  0.7500  6 S 2.45
V  0.5000  0.0000  0.5000  6 S 2.45
V  0.0000  0.0000  0.0000  6 S 2.45
S  0.3619  0.7582  0.1206  1 Mn 2.35, 3 V 2.45
S  0.8614  0.7589  0.6208  1 Mn 2.35, 3 V 2.45
S  0.1386  0.2411  0.3792  1 Mn 2.35, 3 V 2.45
S  0.6381  0.2418  0.8794  1 Mn 2.35, 3 V 2.45
S  0.1381  0.7762  0.3796  1 Mn 2.35, 3 V 2.45
S  0.6381  0.7762  0.8796  1 Mn 2.35, 3 V 2.45
S  0.6295  0.7590  0.3880  1 Mn 2.35, 3 V 2.45
S  0.1295  0.7590  0.8880  1 Mn 2.35, 3 V 2.45
S  0.8976  0.7589  0.1208  1 Mn 2.35, 3 V 2.45
S  0.3963  0.7582  0.6206  1 Mn 2.35, 3 V 2.45
S  0.8705  0.2410  0.1120  1 Mn 2.35, 3 V 2.45
S  0.3705  0.2410  0.6120  1 Mn 2.35, 3 V 2.45
S  0.3619  0.2238  0.1204  1 Mn 2.35, 3 V 2.45
S  0.8619  0.2238  0.6204  1 Mn 2.35, 3 V 2.45
S  0.6037  0.2418  0.3794  1 Mn 2.35, 3 V 2.45
S  0.1024  0.2411  0.8792  1 Mn 2.35, 3 V 2.45